# KTaRe2 (PBE, relaxed)
# DFT formation energy in eV per atom: 0.736
# Volume in Å³ per cell: 94
# Size of the total moment in μB per formula unit: 0.000
# Total DFT energy (no corrections) in eV for the cell shown: -34.90
# Density of states at the Fermi level in states/eV/atom: 0.855
data_KTaRe2
_chemical_formula_sum 'K1 Ta1 Re2'
_cell_length_a 2.871
_cell_length_b 3.958
_cell_length_c 8.282
_cell_angle_alpha 90.00
_cell_angle_beta 90.00
_cell_angle_gamma 90.00
_space_group_name_H-M_alt 'P m m 2'
_space_group_IT_number 25
loop_
_space_group_symop_operation_xyz
'x,y,z'
'-x,-y,z'
'-x,y,z'
'x,-y,z'
loop_
_atom_site_label
_atom_site_fract_x
_atom_site_fract_y
_atom_site_fract_z
K1 0.000 0.000 0.000
Ta1 0.500 0.500 0.632
Re1 0.000 0.000 0.461
Re2 0.500 0.500 0.335



# KTaRe (PBE, relaxed)
# DFT formation energy in eV per atom: 0.799
# Volume in Å³ per cell: 155
# Size of the total moment in μB per formula unit: 0.000
# Total DFT energy (no corrections) in eV for the cell shown: -46.00
# Density of states at the Fermi level in states/eV/atom: 0.445
data_KTaRe
_chemical_formula_sum 'K2 Ta2 Re2'
_cell_length_a 3.272
_cell_length_b 3.272
_cell_length_c 14.446
_cell_angle_alpha 90.00
_cell_angle_beta 90.00
_cell_angle_gamma 90.00
_space_group_name_H-M_alt 'I 4 m m'
_space_group_IT_number 107
_space_group_name_Hall 'I 4 -2'
loop_
_atom_site_label
_atom_site_fract_x
_atom_site_fract_y
_atom_site_fract_z
K1 0.000 0.000 0.000
Ta1 0.000 0.000 0.730
Re1 0.000 0.000 0.311